The following is a PBE calculation of an optimized crystal structure of KRb2LiTl, from Alexandria via LeMat-Bulk.

Cell: 7.214 7.214 5.645 Å, 90.00 90.00 90.00°
Fractional positions:
Rb 0.500 0.000 0.000
K 0.500 0.500 0.500
Tl 0.000 0.000 0.000
Li 0.000 0.000 0.500
Rb 0.000 0.500 0.000

Values from the calculation:
Energy relative to the lowest polymorph listed for this composition (meV per atom): 0
Energy of formation (kJ/mol of atoms): 8
M_tot (μB/cell): 0.00
Calculated volume (Å³ per cell): 294

The following is a PBE calculation of an optimized crystal structure of K2RbLiZn, from Alexandria via LeMat-Bulk.

Cell: 6.819 6.819 5.511 Å, 90.00 90.00 90.00°
Fractional positions:
Zn 0.000 0.000 0.000
Li 0.000 0.000 0.500
Rb 0.500 0.500 0.500
K 0.500 0.000 0.000
K 0.000 0.500 0.000

Values from the calculation:
Energy of formation (kJ/mol of atoms): 14
M_tot (μB/cell): 0.00
Calculated volume (Å³ per cell): 256

The following is a PBE calculation of an optimized crystal structure of K2LiRe, from Alexandria via LeMat-Bulk.

Cell: 7.473 7.473 7.473 Å, 158.75 129.47 55.41°
Fractional positions:
Re 0.278 0.778 0.500
Li 0.447 0.447 0.000
K 0.740 0.240 0.500
K 0.035 0.035 0.000

Values from the calculation:
Energy relative to the lowest polymorph listed for this composition (meV per atom): 97
Energy of formation (kJ/mol of atoms): 109
M_tot (μB/cell): 1.15
Calculated volume (Å³ per cell): 116

The following is a PBE calculation of an optimized crystal structure of KLi2Re, from Alexandria via LeMat-Bulk.

Cell: 4.503 2.613 7.093 Å, 88.76 90.00 90.00°
Fractional positions:
Li 0.000 0.763 0.086
K 0.500 0.750 0.750
Re 0.500 0.250 0.250
Li 0.000 0.737 0.414

Values from the calculation:
Energy relative to the lowest polymorph listed for this composition (meV per atom): 52
Energy of formation (kJ/mol of atoms): 72
M_tot (μB/cell): 0.68
Calculated volume (Å³ per cell): 83

The following is a PBE calculation of an optimized crystal structure of KLi2Re, from Alexandria via LeMat-Bulk.

Cell: 2.715 2.715 11.089 Å, 90.00 90.00 99.62°
Fractional positions:
Re 0.500 0.500 0.250
Li 0.000 0.000 0.441
K 0.500 0.500 0.750
Li 0.000 0.000 0.059

Values from the calculation:
Energy relative to the lowest polymorph listed for this composition (meV per atom): 0
Energy of formation (kJ/mol of atoms): 67
M_tot (μB/cell): 0.00
Calculated volume (Å³ per cell): 81

The following is a PBE calculation of an optimized crystal structure of KLi2Re, from Alexandria via LeMat-Bulk.

Cell: 5.228 5.228 6.282 Å, 87.14 87.14 28.76°
Fractional positions:
Li 0.005 0.005 0.956
K 0.249 0.249 0.248
Re 0.493 0.493 0.585
Li 0.753 0.753 0.711

Values from the calculation:
Energy relative to the lowest polymorph listed for this composition (meV per atom): 138
Energy of formation (kJ/mol of atoms): 80
M_tot (μB/cell): 0.30
Calculated volume (Å³ per cell): 82

The following is a PBE calculation of an optimized crystal structure of KLi2Re, from Alexandria via LeMat-Bulk.

Cell: 2.696 2.696 10.952 Å, 90.00 90.00 90.00°
Fractional positions:
K 0.500 0.500 0.723
Re 0.000 0.000 0.465
Li 0.000 0.000 0.038
Li 0.500 0.500 0.273

Values from the calculation:
Energy relative to the lowest polymorph listed for this composition (meV per atom): 12
Energy of formation (kJ/mol of atoms): 68
M_tot (μB/cell): 0.00
Calculated volume (Å³ per cell): 80

The following is a PBE calculation of an optimized crystal structure of KLiRe, from Alexandria via LeMat-Bulk.

Cell: 8.723 8.723 8.723 Å, 162.26 162.26 25.20°
Fractional positions:
Re 0.681 0.681 0.000
K 0.015 0.015 0.000
Li 0.304 0.304 0.000

Values from the calculation:
Energy relative to the lowest polymorph listed for this composition (meV per atom): 3
Energy of formation (kJ/mol of atoms): 88
M_tot (μB/cell): 0.00
Calculated volume (Å³ per cell): 62

The following is a PBE calculation of an optimized crystal structure of KLi2Re, from Alexandria via LeMat-Bulk.

Cell: 2.602 4.503 7.165 Å, 90.00 90.00 90.00°
Fractional positions:
Li 0.000 0.000 0.089
K 0.500 0.500 0.750
Li 0.000 0.000 0.411
Re 0.500 0.500 0.250

Values from the calculation:
Energy relative to the lowest polymorph listed for this composition (meV per atom): 57
Energy of formation (kJ/mol of atoms): 72
M_tot (μB/cell): 0.00
Calculated volume (Å³ per cell): 84

The following is a PBE calculation of an optimized crystal structure of K2LiRe, from Alexandria via LeMat-Bulk.

Cell: 2.853 2.853 12.328 Å, 90.00 90.00 90.00°
Fractional positions:
K 0.000 0.000 0.974
Re 0.500 0.500 0.750
K 0.000 0.000 0.526
Li 0.500 0.500 0.250

Values from the calculation:
Energy relative to the lowest polymorph listed for this composition (meV per atom): 77
Energy of formation (kJ/mol of atoms): 107
M_tot (μB/cell): 0.00
Calculated volume (Å³ per cell): 100

The following is a PBE calculation of an optimized crystal structure of K2LiRe, from Alexandria via LeMat-Bulk.

Cell: 9.214 9.214 7.229 Å, 50.41 50.41 90.00°
Fractional positions:
K 0.875 0.863 0.750
Li 0.250 0.750 0.500
K 0.375 0.387 0.750
Li 0.500 0.500 0.000
Re 0.750 0.250 0.500
K 0.137 0.625 0.250
K 0.613 0.125 0.250
Re 0.000 0.000 0.000

Values from the calculation:
Energy relative to the lowest polymorph listed for this composition (meV per atom): 553
Energy of formation (kJ/mol of atoms): 153
M_tot (μB/cell): 7.04
Calculated volume (Å³ per cell): 266

The following is a PBE calculation of an optimized crystal structure of KLiRe3, from Alexandria via LeMat-Bulk.

Cell: 4.566 4.566 4.566 Å, 90.00 90.00 90.00°
Fractional positions:
Li 0.500 0.500 0.500
Re 0.500 0.000 0.000
Re 0.000 0.500 0.000
Re 0.000 0.000 0.500
K 0.000 0.000 0.000

Values from the calculation:
Energy relative to the lowest polymorph listed for this composition (meV per atom): 1434
Energy of formation (kJ/mol of atoms): 364
M_tot (μB/cell): 0.92
Calculated volume (Å³ per cell): 95

The following is a PBE calculation of an optimized crystal structure of KLiRe, from Alexandria via LeMat-Bulk.

Cell: 8.878 8.754 2.720 Å, 83.72 78.55 17.73°
Fractional positions:
Li 0.307 0.307 0.693
K 0.013 0.013 0.987
Re 0.680 0.680 0.320

Values from the calculation:
Energy relative to the lowest polymorph listed for this composition (meV per atom): 0
Energy of formation (kJ/mol of atoms): 88
M_tot (μB/cell): 0.00
Calculated volume (Å³ per cell): 61

The following is a PBE calculation of an optimized crystal structure of KLi2Re, from Alexandria via LeMat-Bulk.

Cell: 6.285 6.285 6.285 Å, 155.88 128.96 57.21°
Fractional positions:
K 0.245 0.745 0.500
Li 0.741 0.241 0.500
Li 0.983 0.983 0.000
Re 0.530 0.530 0.000

Values from the calculation:
Energy relative to the lowest polymorph listed for this composition (meV per atom): 179
Energy of formation (kJ/mol of atoms): 84
M_tot (μB/cell): 0.00
Calculated volume (Å³ per cell): 78

The following is a PBE calculation of an optimized crystal structure of K2LiRe, from Alexandria via LeMat-Bulk.

Cell: 5.240 4.981 4.981 Å, 90.00 90.00 90.00°
Fractional positions:
Re 0.500 0.000 0.500
Li 0.500 0.500 0.000
K 0.000 0.000 0.000
K 0.000 0.500 0.500

Values from the calculation:
Energy relative to the lowest polymorph listed for this composition (meV per atom): 476
Energy of formation (kJ/mol of atoms): 146
M_tot (μB/cell): 3.44
Calculated volume (Å³ per cell): 130

The following is a PBE calculation of an optimized crystal structure of KLi2Re, from Alexandria via LeMat-Bulk.

Cell: 2.664 5.881 5.496 Å, 90.00 90.00 90.00°
Fractional positions:
K 0.000 0.500 0.500
Li 0.000 0.000 0.000
Re 0.500 0.000 0.500
Li 0.500 0.500 0.000

Values from the calculation:
Energy relative to the lowest polymorph listed for this composition (meV per atom): 427
Energy of formation (kJ/mol of atoms): 108
M_tot (μB/cell): 1.26
Calculated volume (Å³ per cell): 86

The following is a PBE calculation of an optimized crystal structure of KLi4Re, from Alexandria via LeMat-Bulk.

Cell: 5.569 5.569 5.569 Å, 60.00 60.00 60.00°
Fractional positions:
Li 0.378 0.378 0.867
K 0.000 0.000 0.000
Li 0.867 0.378 0.378
Li 0.378 0.378 0.378
Li 0.378 0.867 0.378
Re 0.750 0.750 0.750

Values from the calculation:
Energy of formation (kJ/mol of atoms): 83
M_tot (μB/cell): 2.10
Calculated volume (Å³ per cell): 122

The following is a PBE calculation of an optimized crystal structure of K2LiRe, from Alexandria via LeMat-Bulk.

Cell: 12.697 12.697 12.697 Å, 13.53 13.53 13.53°
Fractional positions:
K 0.008 0.008 0.008
Li 0.250 0.250 0.250
K 0.492 0.492 0.492
Re 0.750 0.750 0.750

Values from the calculation:
Energy relative to the lowest polymorph listed for this composition (meV per atom): 109
Energy of formation (kJ/mol of atoms): 110
M_tot (μB/cell): 0.32
Calculated volume (Å³ per cell): 97

The following is a PBE calculation of an optimized crystal structure of KLi2Re, from Alexandria via LeMat-Bulk.

Cell: 4.984 4.984 4.984 Å, 60.00 60.00 60.00°
Fractional positions:
Li 0.750 0.750 0.750
Li 0.250 0.250 0.250
Re 0.500 0.500 0.500
K 0.000 0.000 0.000

Values from the calculation:
Energy relative to the lowest polymorph listed for this composition (meV per atom): 581
Energy of formation (kJ/mol of atoms): 123
M_tot (μB/cell): 2.44
Calculated volume (Å³ per cell): 88

The following is a PBE calculation of an optimized crystal structure of K2LiRe, from Alexandria via LeMat-Bulk.

Cell: 6.604 6.597 2.770 Å, 85.30 75.18 116.54°
Fractional positions:
Re 0.500 0.500 0.000
Li 0.000 0.500 0.500
K 0.500 0.000 0.500
K 0.000 0.000 0.000

Values from the calculation:
Energy relative to the lowest polymorph listed for this composition (meV per atom): 227
Energy of formation (kJ/mol of atoms): 121
M_tot (μB/cell): 1.00
Calculated volume (Å³ per cell): 102

The following is a PBE calculation of an optimized crystal structure of KLi2Re, from Alexandria via LeMat-Bulk.

Cell: 6.790 6.790 6.790 Å, 157.67 125.77 59.36°
Fractional positions:
Re 0.750 0.250 0.500
K 0.250 0.750 0.500
Li 0.951 0.951 0.000
Li 0.549 0.549 0.000

Values from the calculation:
Energy relative to the lowest polymorph listed for this composition (meV per atom): 235
Energy of formation (kJ/mol of atoms): 89
M_tot (μB/cell): 0.94
Calculated volume (Å³ per cell): 96

The following is a PBE calculation of an optimized crystal structure of K2LiRe, from Alexandria via LeMat-Bulk.

Cell: 5.622 5.622 5.622 Å, 120.42 120.42 89.27°
Fractional positions:
Li 0.500 0.500 0.000
K 0.250 0.750 0.500
K 0.000 0.000 0.000
Re 0.750 0.250 0.500

Values from the calculation:
Energy relative to the lowest polymorph listed for this composition (meV per atom): 424
Energy of formation (kJ/mol of atoms): 141
M_tot (μB/cell): 3.62
Calculated volume (Å³ per cell): 125

The following is a PBE calculation of an optimized crystal structure of KLi2Re, from Alexandria via LeMat-Bulk.

Cell: 7.732 7.732 6.355 Å, 52.53 52.53 90.00°
Fractional positions:
Li 0.875 0.914 0.750
K 0.250 0.750 0.500
Li 0.664 0.125 0.250
Re 0.000 0.000 0.000
Re 0.750 0.250 0.500
K 0.500 0.500 0.000
Li 0.375 0.336 0.750
Li 0.086 0.625 0.250

Values from the calculation:
Energy relative to the lowest polymorph listed for this composition (meV per atom): 693
Energy of formation (kJ/mol of atoms): 134
M_tot (μB/cell): 5.74
Calculated volume (Å³ per cell): 194

The following is a PBE calculation of an optimized crystal structure of KLiRe, from Alexandria via LeMat-Bulk.

Cell: 6.458 6.458 6.458 Å, 157.25 137.84 48.44°
Fractional positions:
K 0.005 0.005 0.000
Re 0.714 0.714 0.000
Li 0.280 0.280 0.000

Values from the calculation:
Energy relative to the lowest polymorph listed for this composition (meV per atom): 233
Energy of formation (kJ/mol of atoms): 110
M_tot (μB/cell): 0.00
Calculated volume (Å³ per cell): 70

The following is a PBE calculation of an optimized crystal structure of K2LiRe, from Alexandria via LeMat-Bulk.

Cell: 6.572 6.572 2.770 Å, 90.00 90.00 121.48°
Fractional positions:
K 0.500 0.500 0.000
Re 0.000 0.500 0.500
K 0.000 0.000 0.000
Li 0.500 0.000 0.500

Values from the calculation:
Energy relative to the lowest polymorph listed for this composition (meV per atom): 228
Energy of formation (kJ/mol of atoms): 122
M_tot (μB/cell): 1.13
Calculated volume (Å³ per cell): 102

The following is a PBE calculation of an optimized crystal structure of K2LiRe, from Alexandria via LeMat-Bulk.

Cell: 2.879 2.879 12.428 Å, 90.00 90.00 90.00°
Fractional positions:
K 0.500 0.500 0.283
Re 0.500 0.500 0.717
Li 0.000 0.000 0.560
K 0.000 0.000 0.939

Values from the calculation:
Energy relative to the lowest polymorph listed for this composition (meV per atom): 47
Energy of formation (kJ/mol of atoms): 104
M_tot (μB/cell): 0.00
Calculated volume (Å³ per cell): 103

The following is a PBE calculation of an optimized crystal structure of KLi2Re, from Alexandria via LeMat-Bulk.

Cell: 11.331 11.331 11.331 Å, 14.45 14.45 14.45°
Fractional positions:
Li 0.990 0.990 0.990
Re 0.510 0.510 0.510
Li 0.243 0.243 0.243
K 0.758 0.758 0.758

Values from the calculation:
Energy relative to the lowest polymorph listed for this composition (meV per atom): 40
Energy of formation (kJ/mol of atoms): 71
M_tot (μB/cell): 0.08
Calculated volume (Å³ per cell): 79

The following is a PBE calculation of an optimized crystal structure of KLi2Re, from Alexandria via LeMat-Bulk.

Cell: 4.737 2.629 7.246 Å, 82.41 90.00 90.00°
Fractional positions:
Li 0.500 0.032 0.288
K 0.500 0.871 0.724
Li 0.000 0.108 0.083
Re 0.000 0.490 0.405

Values from the calculation:
Energy relative to the lowest polymorph listed for this composition (meV per atom): 110
Energy of formation (kJ/mol of atoms): 77
M_tot (μB/cell): 0.95
Calculated volume (Å³ per cell): 89

The following is a PBE calculation of an optimized crystal structure of K2LiRe, from Alexandria via LeMat-Bulk.

Cell: 5.809 5.809 5.809 Å, 60.00 60.00 60.00°
Fractional positions:
Re 0.500 0.500 0.500
K 0.250 0.250 0.250
K 0.750 0.750 0.750
Li 0.000 0.000 0.000

Values from the calculation:
Energy relative to the lowest polymorph listed for this composition (meV per atom): 497
Energy of formation (kJ/mol of atoms): 148
M_tot (μB/cell): 3.72
Calculated volume (Å³ per cell): 139

The following is a PBE calculation of an optimized crystal structure of K2LiRe, from Alexandria via LeMat-Bulk.

Cell: 2.760 5.771 6.479 Å, 90.00 90.00 90.00°
Fractional positions:
Re 0.500 0.500 0.750
Li 0.500 0.500 0.250
K 0.000 0.000 0.986
K 0.000 0.000 0.514

Values from the calculation:
Energy relative to the lowest polymorph listed for this composition (meV per atom): 224
Energy of formation (kJ/mol of atoms): 121
M_tot (μB/cell): 0.99
Calculated volume (Å³ per cell): 103